Entry 1:
Entry from Alexandria: a relaxed RbBi2Sb crystal (PBE).

Geometry as POSCAR:
```
RbBi2Sb
1.0
-3.400 3.204 3.016
1.812 -5.980 3.269
6.545 3.806 3.335
Bi Rb Sb
4 2 2
Cartesian
6.244 0.239 6.785
-1.287 0.791 2.835
1.213 2.244 4.109
3.745 -1.215 5.511
0.026 -0.970 6.186
4.931 1.999 3.435
1.677 -0.651 2.582
3.280 1.681 7.038
```

Entry 2:
Entry from Alexandria: a relaxed RbBiSb crystal (PBE).

Geometry as POSCAR:
```
RbBiSb
1.0
-3.238 -3.669 -3.281
4.100 0.168 -4.234
1.013 -5.272 4.895
Rb Sb Bi
2 2 2
Cartesian
0.601 -5.590 1.741
1.031 -7.340 -2.015
1.368 -3.334 -1.537
2.917 -2.405 -4.104
-2.272 -5.303 -1.034
-0.781 -4.273 -3.656
```

Entry 3:
Entry from Alexandria: a relaxed Rb3BiSb2 crystal (PBE).

Geometry as POSCAR:
```
Rb3BiSb2
1.0
7.986 0.000 -4.120
0.000 11.124 0.000
-1.111 0.000 12.878
Rb Sb Bi
12 8 4
Cartesian
1.497 9.848 10.926
7.225 7.943 -1.851
5.378 1.276 -2.169
0.830 4.286 6.330
2.962 6.389 -0.126
3.913 4.734 8.883
6.045 6.838 2.427
4.198 2.381 2.109
0.476 0.828 4.504
6.399 10.296 4.253
-0.350 3.181 10.608
2.677 8.743 6.648
1.054 0.693 0.704
2.383 6.255 3.675
0.735 6.683 9.211
6.140 4.440 -0.454
5.821 10.431 8.053
1.592 1.122 8.045
4.492 4.869 5.083
5.283 10.002 0.712
4.122 1.413 6.647
6.190 6.975 6.489
2.753 9.711 2.111
0.684 4.149 2.268
```

Entry 4:
Entry from Alexandria: a relaxed RbBi2Sb crystal (PBE).

Geometry as POSCAR:
```
RbBi2Sb
1.0
5.421 0.000 0.000
2.710 4.694 0.000
2.710 1.565 6.470
Bi Rb Sb
2 1 1
Cartesian
8.131 4.694 3.965
2.710 1.565 2.506
0.000 0.000 0.000
5.421 3.130 3.235
```

In order of appearance, formation energy without anion corrections = -0.47, -0.76, -1.94, -0.24 eV per formula unit.
In order of appearance, size of the total moment = 0.000, 0.000, 0.000, 0.000 μB/atom.